The following is a DFT calculation (PBE-GGA) of crystalline FeMoSe2 at its relaxed geometry.

Cell lengths 5.559, 5.559, 10.439 Å; angles 90.00, 90.00, 90.00 degrees
Space group I-42d (No. 122)
Inequivalent atoms, fractional coordinates:
Fe1 0.000 0.000 0.000 (multiplicity 4)
Mo1 0.000 0.000 0.500 (multiplicity 4)
Se1 0.223 0.250 0.125 (multiplicity 8)

Computed properties:
total magnetic moment: 0.00 μB/cell
uncorrected formation energy: 0.9 eV per formula unit
D(E_F): 4.9 states/eV/f.u.
relative energy among the computed polymorphs: 492.4 meV per atom
uncorrected energy: -0.233 Ha/atom

The following is a DFT calculation (PBE-GGA) of crystalline FeMoSe2 at its relaxed geometry.

Cell lengths 6.392, 6.392, 6.392 Å; angles 90.00, 90.00, 90.00 degrees
Space group F-43m (No. 216)
Inequivalent atoms, fractional coordinates:
Fe1 0.000 0.000 0.000 (multiplicity 4)
Mo1 0.250 0.250 0.750 (multiplicity 4)
Se1 0.000 0.000 0.500 (multiplicity 4)
Se2 0.250 0.250 0.250 (multiplicity 4)

Computed properties:
total magnetic moment: 9.71 μB/cell
uncorrected formation energy: 2.8 eV per formula unit
D(E_F): 5.1 states/eV/f.u.
relative energy among the computed polymorphs: 972.3 meV per atom
uncorrected energy: -0.215 Ha/atom

The following is a DFT calculation (PBE-GGA) of crystalline FeMoSe2 at its relaxed geometry.

Cell lengths 3.2029, 3.2029, 24.7260 Å; angles 90.00, 90.00, 120.00 degrees
Space group R-3m (No. 166, hexagonal axes)
Inequivalent atoms, fractional coordinates:
Fe1 0.0000 0.0000 0.0000 (multiplicity 3)
Mo1 0.0000 0.0000 0.5000 (multiplicity 3)
Se1 0.0000 0.0000 0.0950 (multiplicity 6)

Computed properties:
total magnetic moment: 7.70 μB/cell
uncorrected formation energy: 0.3 eV per formula unit
D(E_F): 4.7 states/eV/f.u.
relative energy among the computed polymorphs: 346.0 meV per atom
uncorrected energy: -0.238 Ha/atom

The following is a DFT calculation (PBE-GGA) of crystalline FeMo6Se8 at its relaxed geometry.

Cell lengths 6.814, 9.554, 9.832 Å; angles 90.23, 91.39, 94.48 degrees
Space group P-1 (No. 2)
Inequivalent atoms, fractional coordinates:
Fe1 0.141 0.270 0.218 (multiplicity 2)
Mo1 0.235 0.487 0.062 (multiplicity 2)
Mo2 0.240 0.982 0.566 (multiplicity 2)
Mo3 0.415 0.890 0.342 (multiplicity 2)
Mo4 0.416 0.393 0.843 (multiplicity 2)
Mo5 0.451 0.175 0.406 (multiplicity 2)
Mo6 0.461 0.677 0.905 (multiplicity 2)
Se1 0.116 0.039 0.318 (multiplicity 2)
Se2 0.123 0.559 0.816 (multiplicity 2)
Se3 0.210 0.214 0.987 (multiplicity 2)
Se4 0.219 0.720 0.496 (multiplicity 2)
Se5 0.271 0.248 0.621 (multiplicity 2)
Se6 0.275 0.749 0.116 (multiplicity 2)
Se7 0.384 0.930 0.805 (multiplicity 2)
Se8 0.388 0.437 0.316 (multiplicity 2)

Computed properties:
total magnetic moment: 8.41 μB/cell
uncorrected formation energy: -7.1 eV per formula unit
D(E_F): 7.7 states/eV/f.u.
relative energy among the computed polymorphs: 3.8 meV per atom
uncorrected energy: -0.266 Ha/atom

The following is a DFT calculation (PBE-GGA) of crystalline FeMoSe2 at its relaxed geometry.

Cell lengths 2.667, 4.225, 6.241 Å; angles 90.00, 101.45, 90.00 degrees
Space group P2/m (No. 10)
Inequivalent atoms, fractional coordinates:
Fe1 0.000 0.000 0.000 (multiplicity 1)
Mo1 0.500 0.000 0.500 (multiplicity 1)
Se1 0.285 0.500 0.247 (multiplicity 2)

Computed properties:
total magnetic moment: 3.13 μB/cell
uncorrected formation energy: 2.0 eV per formula unit
D(E_F): 3.0 states/eV/f.u.
relative energy among the computed polymorphs: 752.3 meV per atom
uncorrected energy: -0.223 Ha/atom

The following is a DFT calculation (PBE-GGA) of crystalline FeMo6Se8 at its relaxed geometry.

Cell lengths 6.808, 6.842, 6.887 Å; angles 91.39, 91.41, 94.36 degrees
Space group P1 (No. 1)
Inequivalent atoms, fractional coordinates:
Fe1 0.000 0.000 0.000 (multiplicity 1)
Mo1 0.090 0.058 0.365 (multiplicity 1)
Mo2 0.269 0.745 0.495 (multiplicity 1)
Mo3 0.307 0.087 0.708 (multiplicity 1)
Mo4 0.397 0.927 0.168 (multiplicity 1)
Mo5 0.439 0.275 0.394 (multiplicity 1)
Mo6 0.615 0.961 0.518 (multiplicity 1)
Se1 0.069 0.709 0.169 (multiplicity 1)
Se2 0.126 0.375 0.572 (multiplicity 1)
Se3 0.255 0.259 0.060 (multiplicity 1)
Se4 0.476 0.772 0.812 (multiplicity 1)
Se5 0.581 0.642 0.309 (multiplicity 1)
Se6 0.640 0.288 0.710 (multiplicity 1)
Se7 0.735 0.134 0.198 (multiplicity 1)
Se8 0.968 0.867 0.669 (multiplicity 1)

Computed properties:
total magnetic moment: 3.76 μB/cell
uncorrected formation energy: -7.2 eV per formula unit
D(E_F): 5.7 states/eV/f.u.
relative energy among the computed polymorphs: 0.0 meV per atom
uncorrected energy: -0.266 Ha/atom

The following is a DFT calculation (PBE-GGA) of crystalline Fe2MoSe at its relaxed geometry.

Cell lengths 3.622, 3.622, 8.443 Å; angles 90.00, 90.00, 90.00 degrees
Space group I4/mmm (No. 139)
Inequivalent atoms, fractional coordinates:
Fe1 0.000 0.500 0.250 (multiplicity 4)
Mo1 0.000 0.000 0.000 (multiplicity 2)
Se1 0.000 0.000 0.500 (multiplicity 2)

Computed properties:
total magnetic moment: 7.75 μB/cell
uncorrected formation energy: 1.7 eV per formula unit
D(E_F): 5.2 states/eV/f.u.
uncorrected energy: -0.272 Ha/atom

The following is a DFT calculation (PBE-GGA) of crystalline FeMoSe at its relaxed geometry.

Cell lengths 5.702, 5.702, 5.702 Å; angles 90.00, 90.00, 90.00 degrees
Space group F-43m (No. 216)
Inequivalent atoms, fractional coordinates:
Fe1 0.000 0.000 0.000 (multiplicity 4)
Mo1 0.250 0.250 0.750 (multiplicity 4)
Se1 0.250 0.250 0.250 (multiplicity 4)

Computed properties:
total magnetic moment: 0.01 μB/cell
uncorrected formation energy: 0.9 eV per formula unit
D(E_F): 3.6 states/eV/f.u.
relative energy among the computed polymorphs: 103.0 meV per atom
uncorrected energy: -0.268 Ha/atom

The following is a DFT calculation (PBE-GGA) of crystalline Fe2MoSe at its relaxed geometry.

Cell lengths 6.031, 6.031, 6.031 Å; angles 90.00, 90.00, 90.00 degrees
Space group F-43m (No. 216)
Inequivalent atoms, fractional coordinates:
Fe1 0.000 0.000 0.000 (multiplicity 4)
Fe2 0.250 0.250 0.250 (multiplicity 4)
Mo1 0.250 0.250 0.750 (multiplicity 4)
Se1 0.000 0.000 0.500 (multiplicity 4)

Computed properties:
total magnetic moment: 17.02 μB/cell
uncorrected formation energy: 1.2 eV per formula unit
D(E_F): 4.3 states/eV/f.u.
uncorrected energy: -0.276 Ha/atom

The following is a DFT calculation (PBE-GGA) of crystalline FeMoSe2 at its relaxed geometry.

Cell lengths 3.696, 3.696, 9.591 Å; angles 90.00, 90.00, 90.00 degrees
Space group I-4m2 (No. 119)
Inequivalent atoms, fractional coordinates:
Fe1 0.000 0.000 0.000 (multiplicity 2)
Mo1 0.000 0.500 0.750 (multiplicity 2)
Se1 0.000 0.000 0.500 (multiplicity 2)
Se2 0.000 0.500 0.250 (multiplicity 2)

Computed properties:
total magnetic moment: 2.31 μB/cell
uncorrected formation energy: 1.7 eV per formula unit
D(E_F): 3.6 states/eV/f.u.
relative energy among the computed polymorphs: 699.7 meV per atom
uncorrected energy: -0.225 Ha/atom